Entry 1:
The following is a PBE calculation of a geometry-optimized PuCdIn structure, from Alexandria via LeMat-Bulk.

a = 5.1527 Å, b = 5.1527 Å, c = 3.2270 Å
α = 90.00°, β = 90.00°, γ = 120.00°
With the nearest neighbours (Å) after each atom.
Space group P-6m2 (No. 187)
One atom of each set of equivalent atoms:
Pu (0.0000, 0.0000, 0.0000) [1 per cell]  2 Pu 3.23, 6 Cd 3.38, 6 In 3.38
Cd (0.3333, 0.6667, 0.5000) [1 per cell]  3 In 2.97, 2 Cd 3.23
In (0.6667, 0.3333, 0.5000) [1 per cell]  3 Cd 2.97, 2 In 3.23

Summary:
final energy: -6.15 eV/atom
DOS(E_F): 9.34 states/eV/cell
formation energy: -46 kJ/mol of formula units
distance to the lowest polymorph of the same formula: 0 meV per atom

Entry 2:
The following is a PBE calculation of a geometry-optimized Pu4CdIn15 structure, from Alexandria via LeMat-Bulk.

a = 4.6514 Å, b = 4.6514 Å, c = 23.5237 Å
α = 90.00°, β = 90.00°, γ = 90.00°
With the nearest neighbours (Å) after each atom.
Space group P4/mmm (No. 123)
One atom of each set of equivalent atoms:
Pu (0.0000, 0.0000, 0.0991) [2 per cell]  12 In 3.29-3.30
Pu (0.0000, 0.0000, 0.2990) [2 per cell]  12 In 3.29-3.32
Cd (0.0000, 0.0000, 0.5000) [1 per cell]  12 In 3.29-3.32
In (0.0000, 0.5000, 0.0000) [2 per cell]  8 In 3.29, 4 Pu 3.29
In (0.0000, 0.5000, 0.1986) [4 per cell]  8 In 3.25-3.30, 4 Pu 3.30-3.31
In (0.0000, 0.5000, 0.3996) [4 per cell]  8 In 3.29-3.38, 2 Cd 3.32, 2 Pu 3.32
In (0.5000, 0.5000, 0.0991) [2 per cell]  4 Pu 3.29, 8 In 3.29-3.30
In (0.5000, 0.5000, 0.2953) [2 per cell]  8 In 3.25-3.38, 4 Pu 3.29
In (0.5000, 0.5000, 0.5000) [1 per cell]  4 Cd 3.29, 8 In 3.32

Summary:
final energy: -5.12 eV/atom
DOS(E_F): 51.63 states/eV/cell
formation energy: -304 kJ/mol of formula units

Entry 3:
The following is a PBE calculation of a geometry-optimized Pu5Cd3In3 structure, from Alexandria via LeMat-Bulk.

a = 10.6003 Å, b = 10.6003 Å, c = 3.0724 Å
α = 90.00°, β = 90.00°, γ = 120.00°
With the nearest neighbours (Å) after each atom.
Space group P-62m (No. 189)
One atom of each set of equivalent atoms:
Pu (0.0000, 0.3463, 0.0000) [3 per cell]  2 Pu 3.07, 2 In 3.17, 2 Cd 3.18
Pu (0.3333, 0.6667, 0.0000) [2 per cell]  2 Pu 3.07
Cd (0.0000, 0.8443, 0.0000) [3 per cell]  4 Cd 2.86-3.07, 2 In 2.94, 2 Pu 3.18
In (0.0000, 0.6079, 0.5000) [3 per cell]  2 Cd 2.94, 2 In 3.07, 2 Pu 3.17

Summary:
final energy: -7.33 eV/atom
DOS(E_F): 37.13 states/eV/cell
formation energy: 193 kJ/mol of formula units

Entry 4:
The following is a PBE calculation of a geometry-optimized Pu2CdIn structure, from Alexandria via LeMat-Bulk.

a = 7.5660 Å, b = 7.5660 Å, c = 7.5660 Å
α = 90.00°, β = 90.00°, γ = 90.00°
With the nearest neighbours (Å) after each atom.
Space group Fm-3m (No. 225)
One atom of each set of equivalent atoms:
Pu (0.2500, 0.2500, 0.2500) [8 per cell]  4 Cd 3.28, 4 In 3.28
Cd (0.0000, 0.0000, 0.0000) [4 per cell]  8 Pu 3.28
In (0.0000, 0.0000, 0.5000) [4 per cell]  8 Pu 3.28

Summary:
final energy: -8.09 eV/atom
DOS(E_F): 60.69 states/eV/cell
formation energy: -4 kJ/mol of formula units
distance to the lowest polymorph of the same formula: 95 meV per atom

Entry 5:
The following is a PBE calculation of a geometry-optimized Pu3Cd4In2 structure, from Alexandria via LeMat-Bulk.

a = 9.0018 Å, b = 15.5737 Å, c = 6.2509 Å
α = 90.00°, β = 90.00°, γ = 90.00°
With the nearest neighbours (Å) after each atom.
Space group Cccm (No. 66)
One atom of each set of equivalent atoms:
Pu (0.0000, 0.0000, 0.2500) [4 per cell]  2 Pu 3.13, 4 In 3.36, 8 Cd 3.39-3.40
Pu (0.0000, 0.3320, 0.2500) [8 per cell]  2 Pu 3.13, 8 Cd 3.36-3.40, 4 In 3.38-3.39
Cd (0.1643, 0.4988, 0.0000) [8 per cell]  4 Cd 2.96-3.13, 1 In 3.00
Cd (0.1697, 0.1663, 0.0000) [8 per cell]  2 Cd 2.97-2.98, 3 In 3.02-3.13
In (0.1657, 0.1648, 0.5000) [8 per cell]  4 Cd 3.00-3.13, 1 In 3.06, 2 Pu 3.36

Summary:
final energy: -5.94 eV/atom
DOS(E_F): 100.93 states/eV/cell
formation energy: -131 kJ/mol of formula units

Entry 6:
The following is a PBE calculation of a geometry-optimized Pu2CdIn structure, from Alexandria via LeMat-Bulk.

a = 3.2768 Å, b = 3.2768 Å, c = 33.4590 Å
α = 90.00°, β = 90.00°, γ = 120.00°
With the nearest neighbours (Å) after each atom.
Space group R-3m (No. 166, hexagonal axes)
One atom of each set of equivalent atoms:
Pu (0.0000, 0.0000, 0.2504) [6 per cell]  6 Pu 3.28, 3 In 3.36, 3 Cd 3.38
Cd (0.0000, 0.0000, 0.5000) [3 per cell]  6 Cd 3.28, 6 Pu 3.38
In (0.0000, 0.0000, 0.0000) [3 per cell]  6 In 3.28, 6 Pu 3.36

Summary:
final energy: -8.04 eV/atom
DOS(E_F): 45.42 states/eV/cell
formation energy: 17 kJ/mol of formula units
distance to the lowest polymorph of the same formula: 149 meV per atom